1.
VASP calculation (PBE) on crystalline LiSi at its relaxed geometry.

a = 7.0346 Å, b = 7.0346 Å, c = 7.0346 Å
α = 98.53°, β = 98.53°, γ = 134.70°
Fractional positions:
Li1 0.1442 0.8619 0.0033
Li2 0.3586 0.1409 0.4967
Li3 0.3591 0.3558 0.2177
Li4 0.3619 0.8586 0.7177
Li5 0.6381 0.1414 0.2823
Li6 0.6409 0.6442 0.7823
Li7 0.6414 0.8591 0.5033
Li8 0.8558 0.1381 0.9967
Si1 0.1257 0.3403 0.4964
Si2 0.1293 0.6257 0.2853
Si3 0.1597 0.1560 0.7853
Si4 0.3440 0.6293 0.0036
Si5 0.6560 0.3707 0.9964
Si6 0.8403 0.8440 0.2147
Si7 0.8707 0.3743 0.7147
Si8 0.8743 0.6597 0.5036

Summary:
Total energy: -3.73 eV/atom
DOS(E_F): 5.77 states/eV per cell
Formation energy (no corrections): -0.06 eV per atom
Space-group type: I4_1/a (88)


2.
VASP calculation (PBE) on crystalline BeTlW2 at its relaxed geometry.

a = 10.0695 Å, b = 3.1503 Å, c = 4.5098 Å
α = 90.00°, β = 116.48°, γ = 90.00°
Fractional positions:
Be1 0.0000 0.0000 0.0000
Be2 0.5000 0.5000 0.0000
Tl1 0.0000 0.5000 0.5000
Tl2 0.5000 0.0000 0.5000
W1 0.2331 0.5000 0.2334
W2 0.2669 0.0000 0.7666
W3 0.7331 0.0000 0.2334
W4 0.7669 0.5000 0.7666

Summary:
ΔH_f (0 K): 0.74 eV per atom
Total energy: -7.26 eV/atom
DOS(E_F): 4.02 states/eV per cell
Space-group type: C2/m (12)
Energy above the most stable polymorph in this dataset: 217 meV per atom


3.
VASP calculation (PBE) on crystalline VNi2I at its relaxed geometry.

a = 6.2596 Å, b = 6.2596 Å, c = 6.2596 Å
α = 90.00°, β = 90.00°, γ = 90.00°
Fractional positions:
V1 0.0000 0.0000 0.0000
V2 0.0000 0.5000 0.5000
V3 0.5000 0.0000 0.5000
V4 0.5000 0.5000 0.0000
Ni1 0.2500 0.2500 0.2500
Ni2 0.2500 0.2500 0.7500
Ni3 0.2500 0.7500 0.2500
Ni4 0.2500 0.7500 0.7500
Ni5 0.7500 0.2500 0.2500
Ni6 0.7500 0.2500 0.7500
Ni7 0.7500 0.7500 0.2500
Ni8 0.7500 0.7500 0.7500
I1 0.0000 0.0000 0.5000
I2 0.0000 0.5000 0.0000
I3 0.5000 0.0000 0.0000
I4 0.5000 0.5000 0.5000

Summary:
Total energy: -4.87 eV/atom
DOS(E_F): 17.39 states/eV per cell
Formation energy (no corrections): 0.68 eV per atom
Space-group type: Fm-3m (225)
Energy above the most stable polymorph in this dataset: 99 meV per atom


4.
VASP calculation (PBE) on crystalline AcSmErGa at its relaxed geometry.

a = 7.7793 Å, b = 7.7793 Å, c = 7.7793 Å
α = 90.00°, β = 90.00°, γ = 90.00°
Fractional positions:
Ac1 0.0000 0.0000 0.0000
Ac2 0.0000 0.5000 0.5000
Ac3 0.5000 0.0000 0.5000
Ac4 0.5000 0.5000 0.0000
Sm1 0.2500 0.2500 0.2500
Sm2 0.2500 0.7500 0.7500
Sm3 0.7500 0.2500 0.7500
Sm4 0.7500 0.7500 0.2500
Er1 0.2500 0.2500 0.7500
Er2 0.2500 0.7500 0.2500
Er3 0.7500 0.2500 0.2500
Er4 0.7500 0.7500 0.7500
Ga1 0.0000 0.0000 0.5000
Ga2 0.0000 0.5000 0.0000
Ga3 0.5000 0.0000 0.0000
Ga4 0.5000 0.5000 0.5000

Summary:
ΔH_f (0 K): 0.05 eV per atom
Total energy: -4.06 eV/atom
DOS(E_F): 28.79 states/eV per cell
Space-group type: F-43m (216)


5.
VASP calculation (PBE) on crystalline SrLi2SnH at its relaxed geometry.

a = 4.6908 Å, b = 4.6908 Å, c = 4.8557 Å
α = 90.00°, β = 90.00°, γ = 90.00°
Fractional positions:
Sr1 0.0000 0.0000 0.0000
Li1 0.0000 0.5000 0.5000
Li2 0.5000 0.0000 0.5000
Sn1 0.5000 0.5000 0.0000
H1 0.0000 0.0000 0.5000

Summary:
Total energy: -2.91 eV/atom
DOS(E_F): 3.28 states/eV per cell
Space-group type: P4/mmm (123)


6.
VASP calculation (PBE) on crystalline CaLaHg4 at its relaxed geometry.

a = 5.0536 Å, b = 7.4038 Å, c = 8.6105 Å
α = 90.00°, β = 90.00°, γ = 90.00°
Fractional positions:
Ca1 0.0000 0.0000 0.0000
Ca2 0.5000 0.5000 0.5000
La1 0.0000 0.5000 0.0051
La2 0.5000 0.0000 0.5051
Hg1 0.0000 0.2367 0.3346
Hg2 0.0000 0.2435 0.6697
Hg3 0.0000 0.7565 0.6697
Hg4 0.0000 0.7633 0.3346
Hg5 0.5000 0.2565 0.1697
Hg6 0.5000 0.2633 0.8346
Hg7 0.5000 0.7367 0.8346
Hg8 0.5000 0.7435 0.1697

Summary:
ΔH_f (0 K): -0.47 eV per atom
Total energy: -1.83 eV/atom
DOS(E_F): 6.43 states/eV per cell
Space-group type: Imm2 (44)
Energy above the most stable polymorph in this dataset: 0 meV per atom


7.
VASP calculation (PBE) on crystalline In2Rh2W at its relaxed geometry.

a = 7.5355 Å, b = 7.5355 Å, c = 3.0570 Å
α = 90.00°, β = 90.00°, γ = 90.00°
Fractional positions:
In1 0.1626 0.3374 0.0000
In2 0.3374 0.8374 0.0000
In3 0.6626 0.1626 0.0000
In4 0.8374 0.6626 0.0000
Rh1 0.1364 0.6364 0.5000
Rh2 0.3636 0.1364 0.5000
Rh3 0.6364 0.8636 0.5000
Rh4 0.8636 0.3636 0.5000
W1 0.0000 0.0000 0.5000
W2 0.5000 0.5000 0.5000

Summary:
ΔH_f (0 K): 0.22 eV per atom
Total energy: -6.41 eV/atom
DOS(E_F): 10.49 states/eV per cell
Space-group type: P4/mbm (127)
Energy above the most stable polymorph in this dataset: 0 meV per atom


8.
VASP calculation (PBE) on crystalline Tm2Be2SiRh5 at its relaxed geometry.

a = 9.5778 Å, b = 9.5778 Å, c = 3.1206 Å
α = 90.00°, β = 90.00°, γ = 90.00°
Fractional positions:
Tm1 0.1755 0.3245 0.0000
Tm2 0.3245 0.8245 0.0000
Tm3 0.6755 0.1755 0.0000
Tm4 0.8245 0.6755 0.0000
Be1 0.1229 0.6229 0.0000
Be2 0.3771 0.1229 0.0000
Be3 0.6229 0.8771 0.0000
Be4 0.8771 0.3771 0.0000
Si1 0.0000 0.0000 0.0000
Si2 0.5000 0.5000 0.0000
Rh1 0.0000 0.5000 0.5000
Rh2 0.0657 0.7950 0.5000
Rh3 0.2050 0.0657 0.5000
Rh4 0.2950 0.5657 0.5000
Rh5 0.4343 0.2950 0.5000
Rh6 0.5000 0.0000 0.5000
Rh7 0.5657 0.7050 0.5000
Rh8 0.7050 0.4343 0.5000
Rh9 0.7950 0.9343 0.5000
Rh10 0.9343 0.2050 0.5000

Summary:
Total energy: -6.76 eV/atom
DOS(E_F): 6.00 states/eV per cell
Formation energy (no corrections): -0.90 eV per atom
Space-group type: P4/mbm (127)


9.
VASP calculation (PBE) on crystalline In2IrPt at its relaxed geometry.

a = 8.7321 Å, b = 3.1880 Å, c = 5.3882 Å
α = 90.00°, β = 102.63°, γ = 90.00°
Fractional positions:
In1 0.2489 0.0000 0.2468
In2 0.2511 0.5000 0.7532
In3 0.7489 0.5000 0.2468
In4 0.7511 0.0000 0.7532
Ir1 0.0000 0.5000 0.0000
Ir2 0.5000 0.0000 0.0000
Pt1 0.0000 0.0000 0.5000
Pt2 0.5000 0.5000 0.5000

Summary:
ΔH_f (0 K): -0.05 eV per atom
Total energy: -5.14 eV/atom
DOS(E_F): 6.27 states/eV per cell
Space-group type: C2/m (12)
Energy above the most stable polymorph in this dataset: 176 meV per atom


10.
VASP calculation (PBE) on crystalline NiAs2Se at its relaxed geometry.

a = 2.7181 Å, b = 2.7830 Å, c = 10.3926 Å
α = 90.00°, β = 94.27°, γ = 90.00°
Fractional positions:
Ni1 0.0000 0.0000 0.0000
As1 0.4622 0.5000 0.8376
As2 0.5378 0.5000 0.1624
Se1 0.5000 0.0000 0.5000

Summary:
Total energy: -4.62 eV/atom
DOS(E_F): 1.63 states/eV per cell
Formation energy (no corrections): 0.02 eV per atom
Space-group type: P2/m (10)


11.
VASP calculation (PBE) on crystalline AcCe2SmS4 at its relaxed geometry.

a = 7.1074 Å, b = 4.0862 Å, c = 7.1118 Å
α = 90.00°, β = 109.28°, γ = 90.00°
Fractional positions:
Ac1 0.0000 0.0000 0.0000
Ce1 0.5000 0.0000 0.5000
Ce2 0.5000 0.5000 0.0000
Sm1 0.0000 0.5000 0.5000
S1 0.2537 0.0000 0.7416
S2 0.2608 0.5000 0.2638
S3 0.7392 0.5000 0.7362
S4 0.7463 0.0000 0.2584

Summary:
Total energy: -6.66 eV/atom
DOS(E_F): 11.91 states/eV per cell
Formation energy (no corrections): -2.01 eV per atom
Space-group type: P2/m (10)


12.
VASP calculation (PBE) on crystalline Sc2SbPd2 at its relaxed geometry.

a = 7.5389 Å, b = 7.5389 Å, c = 3.4115 Å
α = 90.00°, β = 90.00°, γ = 90.00°
Fractional positions:
Sc1 0.1672 0.3328 0.0000
Sc2 0.3328 0.8328 0.0000
Sc3 0.6672 0.1672 0.0000
Sc4 0.8328 0.6672 0.0000
Sb1 0.0000 0.0000 0.5000
Sb2 0.5000 0.5000 0.5000
Pd1 0.1293 0.6293 0.5000
Pd2 0.3707 0.1293 0.5000
Pd3 0.6293 0.8707 0.5000
Pd4 0.8707 0.3707 0.5000

Summary:
Total energy: -6.31 eV/atom
DOS(E_F): 6.42 states/eV per cell
Formation energy (no corrections): -0.88 eV per atom
Space-group type: P4/mbm (127)
Energy above the most stable polymorph in this dataset: 0 meV per atom


13.
VASP calculation (PBE) on crystalline CoSe2Br at its relaxed geometry.

a = 6.9515 Å, b = 4.4671 Å, c = 11.3105 Å
α = 90.00°, β = 90.00°, γ = 90.00°
Fractional positions:
Co1 0.0082 0.2500 0.1336
Co2 0.4918 0.7500 0.6336
Co3 0.5082 0.2500 0.3664
Co4 0.9918 0.7500 0.8664
Se1 0.0801 0.7500 0.0749
Se2 0.2033 0.2500 0.2970
Se3 0.2967 0.7500 0.7970
Se4 0.4199 0.2500 0.5749
Se5 0.5801 0.7500 0.4251
Se6 0.7033 0.2500 0.2030
Se7 0.7967 0.7500 0.7030
Se8 0.9199 0.2500 0.9251
Br1 0.0523 0.7500 0.3975
Br2 0.4477 0.2500 0.8975
Br3 0.5523 0.7500 0.1025
Br4 0.9477 0.2500 0.6025

Summary:
Total energy: -3.90 eV/atom
DOS(E_F): 8.84 states/eV per cell
Formation energy (no corrections): 0.04 eV per atom
Space-group type: Pnma (62)
Energy above the most stable polymorph in this dataset: 242 meV per atom


14.
VASP calculation (PBE) on crystalline ThSiMo2C at its relaxed geometry.

a = 6.0538 Å, b = 6.0538 Å, c = 7.8243 Å
α = 90.00°, β = 90.00°, γ = 143.71°
Fractional positions:
Th1 0.0364 0.9636 0.7500
Th2 0.9636 0.0364 0.2500
Si1 0.2442 0.7558 0.2500
Si2 0.7558 0.2442 0.7500
Mo1 0.3283 0.6717 0.5584
Mo2 0.3283 0.6717 0.9416
Mo3 0.6717 0.3283 0.0584
Mo4 0.6717 0.3283 0.4416
C1 0.5000 0.5000 0.0000
C2 0.5000 0.5000 0.5000

Summary:
Total energy: -9.21 eV/atom
DOS(E_F): 4.11 states/eV per cell
Formation energy (no corrections): -0.46 eV per atom
Space-group type: Cmcm (63)


15.
VASP calculation (PBE) on crystalline Nd3Ho3Sc at its relaxed geometry.

a = 8.7582 Å, b = 8.7582 Å, c = 8.7582 Å
α = 58.89°, β = 58.89°, γ = 58.89°
Fractional positions:
Nd1 0.0717 0.2957 0.8033
Nd2 0.1967 0.9283 0.7043
Nd3 0.2957 0.8033 0.0717
Nd4 0.7043 0.1967 0.9283
Nd5 0.8033 0.0717 0.2957
Nd6 0.9283 0.7043 0.1967
Ho1 0.0569 0.7324 0.5664
Ho2 0.2676 0.4336 0.9431
Ho3 0.4336 0.9431 0.2676
Ho4 0.5664 0.0569 0.7324
Ho5 0.7324 0.5664 0.0569
Ho6 0.9431 0.2676 0.4336
Sc1 0.3440 0.3440 0.3440
Sc2 0.6560 0.6560 0.6560

Summary:
ΔH_f (0 K): 0.28 eV per atom
Total energy: -4.63 eV/atom
DOS(E_F): 19.60 states/eV per cell
Space-group type: R-3 (148)
Energy above the most stable polymorph in this dataset: 243 meV per atom


16.
VASP calculation (PBE) on crystalline AcPrRuRh at its relaxed geometry.

a = 7.2541 Å, b = 7.2541 Å, c = 7.2541 Å
α = 90.00°, β = 90.00°, γ = 90.00°
Fractional positions:
Ac1 0.0000 0.0000 0.0000
Ac2 0.0000 0.5000 0.5000
Ac3 0.5000 0.0000 0.5000
Ac4 0.5000 0.5000 0.0000
Pr1 0.0000 0.0000 0.5000
Pr2 0.0000 0.5000 0.0000
Pr3 0.5000 0.0000 0.0000
Pr4 0.5000 0.5000 0.5000
Ru1 0.2500 0.2500 0.2500
Ru2 0.2500 0.7500 0.7500
Ru3 0.7500 0.2500 0.7500
Ru4 0.7500 0.7500 0.2500
Rh1 0.2500 0.2500 0.7500
Rh2 0.2500 0.7500 0.2500
Rh3 0.7500 0.2500 0.2500
Rh4 0.7500 0.7500 0.7500

Summary:
ΔH_f (0 K): -0.24 eV per atom
Total energy: -6.62 eV/atom
DOS(E_F): 10.85 states/eV per cell
Space-group type: F-43m (216)